Material: Nd4PSCl2
Method: DFT, PBE
State: relaxed

The structure belongs to space group P2/m (No. 10); the cell edges are 7.111, 4.152 and 7.241 Å and the angles 90.00°, 109.43° and 90.00°. The inequivalent atoms are Nd at (0.237, 0.000, 0.213), Nd at (0.262, 0.500, 0.785), P at (0.500, 0.000, 0.000), S at (0.000, 0.500, 0.000), Cl at (0.000, 0.000, 0.500) and Cl at (0.500, 0.500, 0.500).

The value obtained for the raw total energy is -45.6 eV for the cell shown. The value obtained for the uncorrected formation energy is -1.66 eV/atom. For the magnetization, the calculation gives 0.00 μB/f.u.